Material: TcRhPb2
Method: DFT, PBE
State: relaxed

```
4
Lattice="3.059 0.000 0.000 0.000 3.059 0.000 0.000 0.000 9.348" Properties=species:S:1:pos:R:3 pbc="T T T"
Tc 0.000 0.000 0.000
Rh 1.530 1.530 7.840
Pb 0.000 0.000 5.665
Pb 1.530 1.530 2.204
```

total magnetization: 0.000 μB per atom
calculated total energy: -6.02 eV/atom
Fermi-level density of states: 4.27 states/eV/f.u.
calculated volume: 87.5 Å³/cell

Material: La3HoEr3
Method: DFT, PBE
State: relaxed

```
14
Lattice="4.713 2.721 6.236 -4.713 2.721 6.236 0.000 -5.442 6.236" Properties=species:S:1:pos:R:3 pbc="T T T"
La -0.663 -3.448 7.691
La -3.317 -1.150 11.017
La -2.655 2.298 7.691
La 2.655 -2.298 11.017
La 3.317 1.150 7.691
La 0.663 3.448 11.017
Ho 0.000 0.000 7.641
Ho 0.000 0.000 11.066
Er -1.349 -1.500 4.883
Er -0.625 1.919 4.883
Er 1.974 -0.418 4.883
Er -1.974 0.418 13.825
Er 0.625 -1.919 13.825
Er 1.349 1.500 13.825
```

total magnetization: 0.000 μB per atom
calculated total energy: -4.58 eV/atom
Fermi-level density of states: 10.12 states/eV/f.u.
calculated volume: 479.9 Å³/cell